# 1
# Sc2FeSn2 (PBE-GGA, optimized geometry)
# Total energy   -55.2 eV/cell
data_Sc2FeSn2
_cell_length_a 3.980
_cell_length_b 3.980
_cell_length_c 15.325
_cell_angle_alpha 90.00
_cell_angle_beta 90.00
_cell_angle_gamma 90.00
_space_group_name_H-M_alt 'I 4/m m m'
_space_group_IT_number 139
_space_group_name_Hall '-I 4 2'
loop_
_atom_site_label
_atom_site_fract_x
_atom_site_fract_y
_atom_site_fract_z
Sc1 0.000 0.000 0.094
Fe1 0.000 0.000 0.500
Sn1 0.000 0.500 0.250

---

# 2
# ScFe2Sn (PBE-GGA, optimized geometry)
# Total energy   -108.8 eV/cell
data_ScFe2Sn
_cell_length_a 6.377
_cell_length_b 6.377
_cell_length_c 6.377
_cell_angle_alpha 90.00
_cell_angle_beta 90.00
_cell_angle_gamma 90.00
_space_group_name_H-M_alt 'F -4 3 m'
_space_group_IT_number 216
_space_group_name_Hall 'F -4 2 3'
loop_
_atom_site_label
_atom_site_fract_x
_atom_site_fract_y
_atom_site_fract_z
Sc1 0.000 0.000 0.000
Fe1 0.000 0.000 0.500
Fe2 0.250 0.250 0.250
Sn1 0.250 0.250 0.750

---

# 3
# ScTaFeSn (PBE-GGA, optimized geometry)
# Energy above the lowest structure with this stoichiometry   0.00 eV/f.u.
data_ScTaFeSn
_cell_length_a 6.493
_cell_length_b 6.493
_cell_length_c 6.493
_cell_angle_alpha 90.00
_cell_angle_beta 90.00
_cell_angle_gamma 90.00
_space_group_name_H-M_alt 'F -4 3 m'
_space_group_IT_number 216
_space_group_name_Hall 'F -4 2 3'
loop_
_atom_site_label
_atom_site_fract_x
_atom_site_fract_y
_atom_site_fract_z
Sc1 0.000 0.000 0.000
Ta1 0.250 0.250 0.750
Fe1 0.000 0.000 0.500
Sn1 0.250 0.250 0.250

---

# 4
# ScFeSnW (PBE-GGA, optimized geometry)
# Energy above the lowest structure with this stoichiometry   0.00 eV/f.u.
data_ScFeSnW
_cell_length_a 6.487
_cell_length_b 6.487
_cell_length_c 6.487
_cell_angle_alpha 90.00
_cell_angle_beta 90.00
_cell_angle_gamma 90.00
_space_group_name_H-M_alt 'F -4 3 m'
_space_group_IT_number 216
_space_group_name_Hall 'F -4 2 3'
loop_
_atom_site_label
_atom_site_fract_x
_atom_site_fract_y
_atom_site_fract_z
Sc1 0.000 0.000 0.000
Fe1 0.000 0.000 0.500
Sn1 0.250 0.250 0.250
W1 0.250 0.250 0.750

---

# 5
# YScFeSn (PBE-GGA, optimized geometry)
# Energy above the lowest structure with this stoichiometry   0.00 eV/f.u.
data_YScFeSn
_cell_length_a 6.751
_cell_length_b 6.751
_cell_length_c 6.751
_cell_angle_alpha 90.00
_cell_angle_beta 90.00
_cell_angle_gamma 90.00
_space_group_name_H-M_alt 'F -4 3 m'
_space_group_IT_number 216
_space_group_name_Hall 'F -4 2 3'
loop_
_atom_site_label
_atom_site_fract_x
_atom_site_fract_y
_atom_site_fract_z
Y1 0.000 0.000 0.000
Sc1 0.250 0.250 0.250
Fe1 0.250 0.250 0.750
Sn1 0.000 0.000 0.500

---

# 6
# ScZnFeSn (PBE-GGA, optimized geometry)
# Energy above the lowest structure with this stoichiometry   0.01 eV/f.u.
data_ScZnFeSn
_cell_length_a 6.405
_cell_length_b 6.405
_cell_length_c 6.405
_cell_angle_alpha 90.00
_cell_angle_beta 90.00
_cell_angle_gamma 90.00
_space_group_name_H-M_alt 'F -4 3 m'
_space_group_IT_number 216
_space_group_name_Hall 'F -4 2 3'
loop_
_atom_site_label
_atom_site_fract_x
_atom_site_fract_y
_atom_site_fract_z
Sc1 0.000 0.000 0.000
Zn1 0.250 0.250 0.750
Fe1 0.000 0.000 0.500
Sn1 0.250 0.250 0.250

---

It is found that the density values, taken in the order of the records, are 5.242; 7.051; 9.717; 9.814; 6.658; 7.202 g/cm³.